This record from Alexandria via LeMat-Bulk describes an optimized crystal structure of AsIrPt. The functional is PBEsol.

Output
SG ... F-43m (216)
Final energy ... -7.118 eV/atom
Total magnetic moment ... 0.00 μB/f.u.
Energy above the lowest structure with this stoichiometry ... 0.598 eV/f.u.
Energy relative to the elements ... 0.1802 eV per atom

abc: 4.2048 4.2048 4.2048
angles: 60.00 60.00 60.00
Last column: nearest neighbours and their distance in Å.
Fractional positions:
As  0.5000  0.5000  0.5000  4 Ir 2.57
Ir  0.2500  0.2500  0.2500  4 As 2.57, 4 Pt 2.57
Pt  0.0000  0.0000  0.0000  4 Ir 2.57

This record from Alexandria via LeMat-Bulk describes an optimized crystal structure of AsIr2Pt. The functional is PBEsol.

Output
SG ... I-4m2 (119)
Final energy ... -7.625 eV/atom
Total magnetic moment ... 0.00 μB/f.u.
Energy relative to the elements ... 0.3040 eV per atom

abc: 3.9190 3.9190 4.7554
angles: 114.33 114.33 90.00
Last column: nearest neighbours and their distance in Å.
Fractional positions:
As  0.2500  0.7500  0.5000  8 Ir 2.75-2.77, 4 Pt 2.75
Ir  0.0000  0.0000  0.0000  4 Ir 2.75, 4 As 2.75, 4 Pt 2.77
Ir  0.7500  0.2500  0.5000  4 Ir 2.75, 4 Pt 2.75, 4 As 2.77
Pt  0.5000  0.5000  0.0000  8 Ir 2.75-2.77, 4 As 2.75

This record from Alexandria via LeMat-Bulk describes an optimized crystal structure of AsIr2Pt. The functional is PBEsol.

Output
SG ... P4mm (99)
Final energy ... -7.752 eV/atom
Total magnetic moment ... 0.00 μB/f.u.
Energy relative to the elements ... 0.1771 eV per atom

abc: 2.8040 2.8040 7.5879
angles: 90.00 90.00 90.00
Last column: nearest neighbours and their distance in Å.
Fractional positions:
As  0.5000  0.5000  0.7610  4 Ir 2.70, 4 As 2.80, 4 Pt 2.83
Ir  0.0000  0.0000  0.0020  8 Ir 2.69-2.80, 4 As 2.70
Ir  0.5000  0.5000  0.2415  8 Ir 2.69-2.80, 4 Pt 2.77
Pt  0.0000  0.0000  0.4955  4 Ir 2.77, 4 Pt 2.80, 4 As 2.83

This record from Alexandria via LeMat-Bulk describes an optimized crystal structure of AsIrPt. The functional is PBEsol.

Output
SG ... P3m1 (156)
Final energy ... -7.317 eV/atom
Total magnetic moment ... 0.00 μB/f.u.
Energy above the lowest structure with this stoichiometry ... 0.000 eV/f.u.
Energy relative to the elements ... -0.0190 eV per atom

abc: 3.5040 3.9406 3.9406
angles: 120.00 90.00 90.00
Last column: nearest neighbours and their distance in Å.
Fractional positions:
As  0.9610  0.0000  0.0000  3 Ir 2.39, 3 Pt 2.54
Ir  0.7539  0.6667  0.3333  3 As 2.39
Pt  0.2851  0.3333  0.6667  3 As 2.54, 3 Ir 2.81

This record from Alexandria via LeMat-Bulk describes an optimized crystal structure of ReAs2Ir. The functional is PBEsol.

Output
SG ... Pmm2 (25)
Final energy ... -8.191 eV/atom
Total magnetic moment ... 0.00 μB/f.u.
Energy above the lowest structure with this stoichiometry ... 0.057 eV/f.u.
Energy relative to the elements ... 0.1505 eV per atom

abc: 2.9251 3.9272 5.2352
angles: 90.00 90.00 90.00
Last column: nearest neighbours and their distance in Å.
Fractional positions:
Re  0.5000  0.5000  0.7850  6 As 2.53-2.71
As  0.0000  0.0000  0.9499  2 Ir 2.55-2.69, 4 Re 2.60
As  0.5000  0.5000  0.3021  2 Re 2.53-2.71, 4 Ir 2.59
Ir  0.0000  0.0000  0.4630  6 As 2.55-2.69

This record from Alexandria via LeMat-Bulk describes an optimized crystal structure of ReAsIr. The functional is PBEsol.

Output
SG ... Imm2 (44)
Final energy ... -9.034 eV/atom
Total magnetic moment ... 0.00 μB/f.u.
Energy relative to the elements ... 0.3863 eV per atom

abc: 2.8241 3.9897 4.6196
angles: 115.58 107.80 90.00
Last column: nearest neighbours and their distance in Å.
Fractional positions:
Re  0.3239  0.3239  0.6479  5 As 2.54-2.81, 5 Ir 2.71-2.76, 2 Re 2.82
As  0.0002  0.0002  0.0003  5 Re 2.54-2.81, 5 Ir 2.54-2.81, 2 As 2.82
Ir  0.6759  0.6759  0.3518  5 As 2.54-2.81, 5 Re 2.71-2.76, 2 Ir 2.82

This record from Alexandria via LeMat-Bulk describes an optimized crystal structure of Re2AsIr. The functional is PBEsol.

Output
SG ... P4/mmm (123)
Final energy ... -10.211 eV/atom
Total magnetic moment ... 0.00 μB/f.u.
Energy relative to the elements ... 0.1873 eV per atom

abc: 2.9074 2.9074 6.7169
angles: 90.00 90.00 90.00
Last column: nearest neighbours and their distance in Å.
Fractional positions:
Re  0.0000  0.0000  0.7721  4 As 2.56, 4 Ir 2.75
Re  0.0000  0.0000  0.2279  4 As 2.56, 4 Ir 2.75
As  0.5000  0.5000  0.0000  8 Re 2.56
Ir  0.5000  0.5000  0.5000  8 Re 2.75, 4 Ir 2.91

This record from Alexandria via LeMat-Bulk describes an optimized crystal structure of ReAs2Ir. The functional is PBEsol.

Output
SG ... Immm (71)
Final energy ... -7.781 eV/atom
Total magnetic moment ... 0.00 μB/f.u.
Energy above the lowest structure with this stoichiometry ... 1.700 eV/f.u.
Energy relative to the elements ... 0.5615 eV per atom

abc: 2.9246 5.0553 5.0914
angles: 119.77 106.69 90.00
Last column: nearest neighbours and their distance in Å.
Fractional positions:
Re  0.5000  0.0000  0.0000  4 As 2.55
As  0.7492  0.7492  0.4984  2 Ir 2.54, 2 Re 2.55
As  0.2508  0.2508  0.5016  2 Ir 2.54, 2 Re 2.55
Ir  0.0000  0.5000  0.0000  4 As 2.54

This record from Alexandria via LeMat-Bulk describes an optimized crystal structure of ReAs2Ir. The functional is PBEsol.

Output
SG ... R3m (160)
Final energy ... -8.206 eV/atom
Total magnetic moment ... 0.00 μB/f.u.
Energy above the lowest structure with this stoichiometry ... 0.000 eV/f.u.
Energy relative to the elements ... 0.1364 eV per atom

abc: 2.8627 2.8627 9.8032
angles: 81.60 81.60 60.00
Last column: nearest neighbours and their distance in Å.
Fractional positions:
Re  0.2468  0.2468  0.2596  3 As 2.54, 3 Ir 2.75
As  0.9801  0.9801  0.0598  3 Re 2.54
As  0.7687  0.7687  0.6939  3 Ir 2.60, 6 As 2.86
Ir  0.5044  0.5044  0.4867  3 As 2.60, 3 Re 2.75, 6 Ir 2.86

This record from Alexandria via LeMat-Bulk describes an optimized crystal structure of ReAsIr4. The functional is PBEsol.

Output
SG ... F-43m (216)
Final energy ... -8.792 eV/atom
Total magnetic moment ... 0.00 μB/f.u.
Energy relative to the elements ... 0.8301 eV per atom

abc: 5.1078 5.1078 5.1078
angles: 60.00 60.00 60.00
Last column: nearest neighbours and their distance in Å.
Fractional positions:
As  0.0000  0.0000  0.0000  12 Ir 3.00, 4 Re 3.13
Ir  0.6247  0.6247  0.1259  6 Ir 2.55-2.56
Ir  0.1259  0.6247  0.6247  6 Ir 2.55-2.56
Ir  0.6247  0.1259  0.6247  6 Ir 2.55-2.56
Ir  0.6247  0.6247  0.6247  6 Ir 2.55-2.56
Re  0.2500  0.2500  0.2500  12 Ir 2.99, 4 As 3.13

This record from Alexandria via LeMat-Bulk describes an optimized crystal structure of ReAsIr3. The functional is PBEsol.

Output
SG ... Pm-3m (221)
Final energy ... -7.767 eV/atom
Total magnetic moment ... 4.14 μB/f.u.
Energy relative to the elements ... 1.8143 eV per atom

abc: 4.4711 4.4711 4.4711
angles: 90.00 90.00 90.00
Last column: nearest neighbours and their distance in Å.
Fractional positions:
Re  0.5000  0.5000  0.5000  12 Ir 3.16
As  0.0000  0.0000  0.0000  6 Ir 2.24
Ir  0.0000  0.5000  0.0000  2 As 2.24
Ir  0.0000  0.0000  0.5000  2 As 2.24
Ir  0.5000  0.0000  0.0000  2 As 2.24

This record from Alexandria via LeMat-Bulk describes an optimized crystal structure of Re4AsIr. The functional is PBEsol.

Output
SG ... F-43m (216)
Final energy ... -10.533 eV/atom
Total magnetic moment ... 0.00 μB/f.u.
Energy relative to the elements ... 0.8434 eV per atom

abc: 5.1348 5.1348 5.1348
angles: 60.00 60.00 60.00
Last column: nearest neighbours and their distance in Å.
Fractional positions:
As  0.2500  0.2500  0.2500  12 Re 3.01, 4 Ir 3.14
Ir  0.0000  0.0000  0.0000  12 Re 3.01, 4 As 3.14
Re  0.6254  0.6254  0.1237  6 Re 2.56-2.58
Re  0.1237  0.6254  0.6254  6 Re 2.56-2.58
Re  0.6254  0.1237  0.6254  6 Re 2.56-2.58
Re  0.6254  0.6254  0.6254  6 Re 2.56-2.58

This record from Alexandria via LeMat-Bulk describes an optimized crystal structure of As2IrRh. The functional is PBEsol.

Output
SG ... P4mm (99)
Final energy ... -7.273 eV/atom
Total magnetic moment ... 0.00 μB/f.u.
Energy above the lowest structure with this stoichiometry ... 0.000 eV/f.u.
Energy relative to the elements ... -0.2291 eV per atom

abc: 3.4624 3.4624 5.0577
angles: 90.00 90.00 90.00
Last column: nearest neighbours and their distance in Å.
Fractional positions:
As  0.0000  0.0000  0.9397  2 Ir 2.47-2.59, 4 Rh 2.55
As  0.5000  0.5000  0.3082  2 Rh 2.49-2.57, 4 Ir 2.55
Ir  0.0000  0.0000  0.4521  6 As 2.47-2.59
Rh  0.5000  0.5000  0.8000  6 As 2.49-2.57

This record from Alexandria via LeMat-Bulk describes an optimized crystal structure of As2IrRh. The functional is PBEsol.

Output
SG ... Cmm2 (35)
Final energy ... -6.868 eV/atom
Total magnetic moment ... 0.00 μB/f.u.
Energy above the lowest structure with this stoichiometry ... 1.618 eV/f.u.
Energy relative to the elements ... 0.1754 eV per atom

abc: 2.7963 2.7993 9.6929
angles: 90.00 90.00 119.96
Last column: nearest neighbours and their distance in Å.
Fractional positions:
As  0.0000  0.0000  0.9562  2 Rh 2.47
As  0.5000  0.0000  0.2915  2 Ir 2.51, 6 As 2.80
Ir  0.0000  0.0000  0.5065  2 As 2.51, 2 Rh 2.71, 6 Ir 2.80
Rh  0.5000  0.0000  0.7459  2 As 2.47, 2 Ir 2.71

This record from Alexandria via LeMat-Bulk describes an optimized crystal structure of As2IrRh. The functional is PBEsol.

Output
SG ... R-3m (166)
Final energy ... -7.125 eV/atom
Total magnetic moment ... 0.00 μB/f.u.
Energy above the lowest structure with this stoichiometry ... 0.590 eV/f.u.
Energy relative to the elements ... -0.0817 eV per atom

abc: 2.9711 2.9711 7.9445
angles: 79.22 79.22 60.00
Last column: nearest neighbours and their distance in Å.
Fractional positions:
As  0.2510  0.2510  0.2471  3 Rh 2.57, 3 Ir 2.61
As  0.7490  0.7490  0.7529  3 Rh 2.57, 3 Ir 2.61
Ir  0.5000  0.5000  0.5000  6 As 2.61
Rh  0.0000  0.0000  0.0000  6 As 2.57